[1]
The following is a PBE calculation of a relaxed TbIn3Sn crystal, from Alexandria via LeMat-Bulk.

Summary:
* uncorrected energy: -3.488 eV per atom
* space group: Pmmn (59)

abc: 5.185 7.333 7.225
angles: 90.00 90.00 90.00
Atoms (fractional coordinates):
In (0.500, 0.199, 0.757)
In (0.000, 0.000, 0.966)
In (0.000, 0.699, 0.243)
In (0.500, 0.801, 0.757)
In (0.500, 0.500, 0.034)
In (0.000, 0.301, 0.243)
Sn (0.500, 0.500, 0.440)
Sn (0.000, 0.000, 0.560)
Tb (0.500, 0.000, 0.280)
Tb (0.000, 0.500, 0.720)

[2]
The following is a PBE calculation of a relaxed Tb2InSn crystal, from Alexandria via LeMat-Bulk.

Summary:
* uncorrected energy: -4.616 eV per atom
* space group: Amm2 (38)

abc: 4.570 4.322 6.172
angles: 90.00 111.73 90.00
Atoms (fractional coordinates):
Sn (0.534, 0.500, 0.067)
Tb (0.083, 0.000, 0.166)
Tb (0.810, 0.500, 0.621)
In (0.358, 0.000, 0.715)

[3]
The following is a PBE calculation of a relaxed Tb4InSn2 crystal, from Alexandria via LeMat-Bulk.

Summary:
* uncorrected energy: -4.577 eV per atom
* space group: R-3m (166)

abc: 4.945 4.945 10.945
angles: 76.94 76.94 60.00
Atoms (fractional coordinates):
Sn (0.402, 0.402, 0.795)
Sn (0.598, 0.598, 0.205)
Tb (0.297, 0.297, 0.109)
Tb (0.879, 0.879, 0.363)
Tb (0.121, 0.121, 0.637)
Tb (0.703, 0.703, 0.891)
In (0.500, 0.500, 0.500)

[4]
The following is a PBE calculation of a relaxed Tb2In3SnTe6 crystal, from Alexandria via LeMat-Bulk.

Summary:
* space group: C2/m (12)
* uncorrected formation energy: -0.73 eV per atom

abc: 4.432 9.337 10.353
angles: 105.59 102.36 90.00
Atoms (fractional coordinates):
Te (0.329, 0.429, 0.658)
Te (0.665, 0.102, 0.329)
Te (0.992, 0.747, 0.983)
Te (0.335, 0.898, 0.671)
Te (0.008, 0.253, 0.017)
Te (0.671, 0.571, 0.342)
In (0.500, 0.500, 0.000)
In (0.834, 0.164, 0.668)
In (0.166, 0.836, 0.332)
Tb (0.832, 0.665, 0.664)
Tb (0.168, 0.335, 0.336)
Sn (0.500, 0.000, 0.000)

[5]
The following is a PBE calculation of a relaxed TbIn2SnTe4 crystal, from Alexandria via LeMat-Bulk.

Summary:
* space group: P2/m (10)
* uncorrected formation energy: -0.61 eV per atom

abc: 4.443 8.021 7.883
angles: 70.88 90.00 90.00
Atoms (fractional coordinates):
Te (0.000, 0.260, 0.259)
Te (0.500, 0.268, 0.736)
Te (0.500, 0.732, 0.264)
Te (0.000, 0.740, 0.741)
Tb (0.000, 0.500, 0.500)
Sn (0.500, 0.500, 0.000)
In (0.000, 0.000, 0.000)
In (0.500, 0.000, 0.500)

[6]
The following is a PBE calculation of a relaxed TbTlInSn crystal, from Alexandria via LeMat-Bulk.

Summary:
* uncorrected energy: -3.807 eV per atom
* space group: Pmmm (47)

abc: 4.801 4.547 4.795
angles: 90.00 90.00 90.00
Atoms (fractional coordinates):
Tl (0.500, 0.000, 0.500)
Sn (0.000, 0.000, 0.000)
In (0.000, 0.500, 0.500)
Tb (0.500, 0.500, 0.000)

[7]
The following is a PBE calculation of a relaxed In2TcSn8 crystal, from Alexandria via LeMat-Bulk.

Summary:
* uncorrected energy: -4.258 eV per atom
* space group: C2/m (12)

abc: 4.918 6.374 9.603
angles: 91.01 104.84 90.00
Atoms (fractional coordinates):
Sn (0.615, 0.278, 0.230)
Sn (0.385, 0.722, 0.770)
Sn (0.207, 0.634, 0.413)
Sn (0.000, 0.750, 0.999)
Sn (0.383, 0.253, 0.767)
Sn (0.617, 0.747, 0.233)
Sn (0.793, 0.366, 0.587)
Sn (0.000, 0.250, 0.001)
In (0.792, 0.870, 0.584)
In (0.208, 0.130, 0.416)
Tc (0.500, 0.000, 0.000)

[8]
The following is a PBE calculation of a relaxed InTcSn crystal, from Alexandria via LeMat-Bulk.

Summary:
* distance to the lowest polymorph of the same formula: 60.9 kJ/mol of formula units
* space group: P-6m2 (187)

abc: 3.107 4.784 4.784
angles: 120.00 90.00 90.00
Atoms (fractional coordinates):
Sn (0.666, 0.667, 0.333)
Tc (0.167, 0.333, 0.667)
In (0.166, 0.000, 0.000)

[9]
The following is a PBE calculation of a relaxed In2Tc2Sn crystal, from Alexandria via LeMat-Bulk.

Summary:
* uncorrected energy: -5.848 eV per atom
* space group: P4/mbm (127)

abc: 6.839 6.839 4.229
angles: 90.00 90.00 90.00
Atoms (fractional coordinates):
Tc (0.868, 0.632, 0.000)
Tc (0.132, 0.368, 0.000)
Tc (0.368, 0.868, 0.000)
Tc (0.632, 0.132, 0.000)
Sn (0.000, 0.000, 0.000)
Sn (0.500, 0.500, 0.000)
In (0.164, 0.664, 0.500)
In (0.664, 0.836, 0.500)
In (0.336, 0.164, 0.500)
In (0.836, 0.336, 0.500)

[10]
The following is a PBE calculation of a relaxed InTc2Sn8 crystal, from Alexandria via LeMat-Bulk.

Summary:
* uncorrected energy: -4.894 eV per atom
* space group: C2/m (12)

abc: 5.312 8.181 8.181
angles: 63.82 67.78 67.78
Atoms (fractional coordinates):
Sn (0.935, 0.569, 0.166)
Sn (0.383, 0.409, 0.409)
Sn (0.617, 0.591, 0.591)
Sn (0.935, 0.166, 0.569)
Sn (0.421, 0.179, 0.179)
Sn (0.065, 0.834, 0.431)
Sn (0.065, 0.431, 0.834)
Sn (0.579, 0.821, 0.821)
Tc (0.120, 0.786, 0.786)
Tc (0.880, 0.214, 0.214)
In (0.000, 0.000, 0.000)

[11]
The following is a PBE calculation of a relaxed InTc2Sn2 crystal, from Alexandria via LeMat-Bulk.

Summary:
* distance to the lowest polymorph of the same formula: 140.3 kJ/mol of formula units
* space group: I4/mmm (139)

abc: 4.169 4.169 6.728
angles: 71.95 71.95 90.00
Atoms (fractional coordinates):
Sn (0.750, 0.250, 0.500)
Sn (0.250, 0.750, 0.500)
In (0.000, 0.000, 0.000)
Tc (0.401, 0.401, 0.198)
Tc (0.599, 0.599, 0.802)

[12]
The following is a PBE calculation of a relaxed InTcSn crystal, from Alexandria via LeMat-Bulk.

Summary:
* distance to the lowest polymorph of the same formula: 0.0 kJ/mol of formula units
* space group: P4_2/mmc (131)

abc: 4.545 4.545 6.446
angles: 90.02 90.02 89.99
Atoms (fractional coordinates):
Tc (0.500, 0.500, 0.500)
Tc (0.000, 0.000, 0.000)
In (0.000, 0.500, 0.750)
In (0.000, 0.500, 0.250)
Sn (0.500, 0.000, 0.750)
Sn (0.500, 0.000, 0.250)